# Li3Y2MnS6 PBE-GGA relaxed
data_Li3Y2MnS6
_space_group_name_H-M_alt 'C 1 2/m 1'
_space_group_IT_number 12
_cell_length_a 6.559
_cell_length_b 11.424
_cell_length_c 6.483
_cell_angle_alpha 90.00
_cell_angle_beta 109.23
_cell_angle_gamma 90.00
loop_
_space_group_symop_operation_xyz
'x,y,z'
'-x,-y,-z'
'-x,y,-z'
'x,-y,z'
'x+1/2,y+1/2,z'
'-x+1/2,-y+1/2,-z'
'-x+1/2,y+1/2,-z'
'x+1/2,-y+1/2,z'
loop_
_atom_site_label
_atom_site_type_symbol
_atom_site_fract_x
_atom_site_fract_y
_atom_site_fract_z
_atom_site_occupancy
Li1 Li 0.000 0.000 0.000 1
Li2 Li 0.000 0.339 0.000 1
Y1 Y 0.000 0.169 0.500 1
Mn1 Mn 0.000 0.500 0.500 1
S1 S 0.223 0.500 0.267 1
S2 S 0.242 0.344 0.751 1
# M_tot (μB per formula unit): 4.0
# Formation energy without anion corrections (eV/f.u.): -17.8
# Energy (eV/cell): -140.74